A | ## TcOsW2 (GGA-PBE)

Data for a geometry-optimized TcOsW2 structure.

Calculated values
Magnetization   0.0000 μB per atom
Space-group type   C2/m, No. 12

```
TcOsW2
1.0
4.781 -0.005 -0.007
3.969 2.665 -0.007
0.801 0.244 4.824
Tc W Os
1 2 1
Cartesian
2.388 0.726 1.203
4.752 1.445 2.412
0.825 0.251 4.817
7.164 2.178 3.608
```

---

B | ## TcOsW2 (GGA-PBE)

Data for a geometry-optimized TcOsW2 structure.

Calculated values
Magnetization   0.0001 μB per atom
Space-group type   F-43m, No. 216

```
TcOsW2
1.0
4.435 0.000 0.000
2.218 3.841 0.000
2.218 1.280 3.622
W Tc Os
2 1 1
Cartesian
0.000 0.000 0.000
2.218 1.280 0.905
6.653 3.841 2.716
4.435 2.561 1.811
```

---

C | ## TcOsW2 (GGA-PBE)

Data for a geometry-optimized TcOsW2 structure.

Calculated values
Magnetization   0.0000 μB per atom
Space-group type   R-3m, No. 166

```
TcOsW2
1.0
9.321 0.022 0.013
8.899 2.772 0.013
8.899 1.365 2.413
Os W Tc
1 2 1
Cartesian
6.780 1.040 0.610
27.109 4.157 2.438
13.569 2.081 1.220
20.339 3.119 1.829
```

---

D | ## TcOsW2 (GGA-PBE)

Data for a geometry-optimized TcOsW2 structure.

Calculated values
Magnetization   0.0000 μB per atom
Space-group type   Pmm2, No. 25

```
TcOsW2
1.0
-1.921 1.580 -1.244
-0.527 -2.794 -2.735
-3.993 -2.355 3.175
Os Tc W
1 1 2
Cartesian
-2.000 -1.179 1.590
-4.209 -2.367 0.384
-3.956 -2.333 3.146
-2.264 -1.221 -1.162
```

---

Which is most stable, and by how much? D, by 0.6 kJ/mol of atoms.

---

A | ## TcOsW2 (GGA-PBE)

Data for a geometry-optimized TcOsW2 structure.

Calculated values
Magnetization   0.0000 μB per atom
Space-group type   P4mm, No. 99

```
TcOsW2
1.0
2.751 0.000 0.000
0.000 2.751 0.000
0.000 0.000 8.181
Tc Os W
1 1 2
Cartesian
1.376 1.376 5.995
0.000 0.000 4.178
1.376 1.376 2.155
0.000 0.000 8.123
```

---

B | ## TcOsW2 (GGA-PBE)

Data for a geometry-optimized TcOsW2 structure.

Calculated values
Magnetization   0.0001 μB per atom
Space-group type   R3m, No. 160

```
TcOsW2
1.0
9.432 0.013 0.008
9.021 2.754 0.008
9.021 1.353 2.399
Tc Os W
1 1 2
Cartesian
20.670 3.100 1.817
13.698 2.054 1.204
0.057 0.009 0.005
6.785 1.018 0.596
```

---

C | ## TcOsW2 (GGA-PBE)

Data for a geometry-optimized TcOsW2 structure.

Calculated values
Magnetization   0.0000 μB per atom
Space-group type   I4/mmm, No. 139

```
TcOsW2
1.0
-4.657 0.866 -0.752
-1.832 -3.693 -2.452
2.614 0.121 4.020
Tc W Os
1 2 1
Cartesian
-2.644 -0.213 0.833
0.000 0.000 0.000
-3.245 -1.413 -1.602
-1.231 -2.493 -0.017
```

---

Which is most stable, and by how much? C, by 2.5 kJ/mol of atoms.

---

A | ## TcOsW2 (GGA-PBE)

Data for a geometry-optimized TcOsW2 structure.

Calculated values
Magnetization   0.0000 μB per atom
Space-group type   I-42d, No. 122

```
TcOsW2
1.0
5.703 0.000 0.000
0.000 5.703 0.000
2.852 2.852 5.666
W Tc Os
4 2 2
Cartesian
1.420 4.278 1.416
7.129 7.135 4.249
4.278 4.272 4.249
4.283 1.426 1.416
2.852 5.703 2.833
2.852 2.852 0.000
0.000 0.000 0.000
5.703 2.852 2.833
```

---

B | ## TcOsW2 (GGA-PBE)

Data for a geometry-optimized TcOsW2 structure.

Calculated values
Magnetization   0.0000 μB per atom
Space-group type   Cmmm, No. 65

```
TcOsW2
1.0
-1.855 1.150 -4.259
-3.632 -1.002 2.950
-0.113 2.707 0.780
W Os Tc
2 1 1
Cartesian
-2.743 0.074 -0.654
0.000 0.000 0.000
-0.984 1.929 -1.739
-1.873 0.853 1.865
```

---

C | ## TcOsW2 (GGA-PBE)

Data for a geometry-optimized TcOsW2 structure.

Calculated values
Magnetization   0.0000 μB per atom
Space-group type   Fm-3m, No. 225

```
TcOsW2
1.0
0.000 3.135 3.135
3.135 0.000 3.135
3.135 3.135 0.000
Os Tc W
1 1 2
Cartesian
3.135 3.135 3.135
0.000 0.000 0.000
1.567 1.567 1.567
4.702 4.702 4.702
```

---

Which is most stable, and by how much? B, by 10.7 kJ/mol of atoms.

---

A | ## ZnTcOs3 (GGA-PBE)

Data for a geometry-optimized ZnTcOs3 structure.

Calculated values
Magnetization   0.0000 μB per atom
Space-group type   Pm-3m, No. 221

```
ZnTcOs3
1.0
-3.144 1.331 -3.175
-1.717 -4.333 -0.117
-2.984 1.090 3.412
Tc Os Zn
1 3 1
Cartesian
0.000 0.000 0.000
-1.572 0.666 -1.587
-0.858 -2.166 -0.058
-1.492 0.545 1.706
-3.922 -0.956 0.060
```

---

B | ## ZnTcOs3 (GGA-PBE)

Data for a geometry-optimized ZnTcOs3 structure.

Calculated values
Magnetization   0.0001 μB per atom
Space-group type   Pm-3m, No. 221

```
ZnTcOs3
1.0
4.394 0.000 0.000
0.000 4.394 0.000
0.000 0.000 4.394
Os Zn Tc
3 1 1
Cartesian
0.000 2.197 0.000
0.000 0.000 2.197
2.197 0.000 0.000
0.000 0.000 0.000
2.197 2.197 2.197
```

---

Which is most stable, and by how much? B, by 4.3 kJ/mol of atoms.